# 1
Compound: BaPrLu
Source: the Alexandria database
Functional: PBE
Structure: relaxed

Unit cell a=3.835 b=3.835 c=8.575 alpha=102.92 beta=102.92 gamma=90.00
Element x y z (fractional)
Ba  0.002  0.002  0.004
Pr  0.317  0.317  0.634
Lu  0.681  0.681  0.362

crystal system = tetragonal
formation enthalpy at 0 K = 175 meV per atom
magnetization = 0.0 μB per formula unit
space group = I4mm (107)



# 2
Compound: BaPrLu2
Source: the Alexandria database
Functional: PBE
Structure: relaxed

Unit cell a=3.603 b=3.603 c=12.997 alpha=82.03 beta=82.03 gamma=60.00
Each line ends with the local moment (μB).
Element x y z (fractional)
Ba  0.000  0.000  0.000  0.05
Pr  0.500  0.500  0.500  0.00
Lu  0.093  0.093  0.721  0.01
Lu  0.907  0.907  0.279  0.01

crystal system = trigonal
formation enthalpy at 0 K = 261 meV per atom
offset from the most stable computed form = 77 meV per atom
magnetization = 0.1 μB per formula unit
space group = R-3m (166)